Computed, not measured: an optimized crystal structure of BaBeWO5 at the GGA+U level of DFT.

Unit cell a=5.747 b=5.747 c=7.466 alpha=104.73 beta=104.73 gamma=105.51
Element x y z (fractional)
1 Be 0.692 0.308 0.250
2 Be 0.308 0.692 0.750
3 O 0.278 0.883 0.610
4 O 0.117 0.722 0.890
5 O 0.943 0.057 0.750
6 O 0.366 0.218 0.106
7 O 0.722 0.117 0.390
8 O 0.634 0.782 0.894
9 O 0.218 0.366 0.606
10 O 0.782 0.634 0.394
11 O 0.057 0.943 0.250
12 O 0.883 0.278 0.110
13 Ba 0.338 0.662 0.250
14 Ba 0.662 0.338 0.750
15 W 0.000 0.000 0.500
16 W 0.000 0.000 0.000

Magnetic moment ... 0.00 μB/atom
Space-group type ... C2/c
Final energy ... -7.108 eV/atom
V ... 13.47 A^3/atom